(1)
Density functional theory data (PBE) for a geometry-optimized SrCdP2O structure.

a b c (Å): 5.694 5.694 4.404
angles (deg): 90.00 90.00 90.00
Space group P4/mmm (No. 123)
One atom of each set of equivalent atoms:
Sr: 0.000 0.000 0.000 x1
Cd: 0.500 0.500 0.500 x1
P: 0.000 0.500 0.000 x2
O: 0.000 0.000 0.500 x1

Computed properties:
Magnetic moment = 2.7 μB/cell
Raw formation energy = 614 meV/atom
Distance to the lowest polymorph of the same formula = 0.6036 eV/atom

***

(2)
Density functional theory data (PBE) for a geometry-optimized BaNaIrCl2 structure.

a b c (Å): 5.769 5.769 13.804
angles (deg): 90.00 90.00 90.00
Space group P4/mmm (No. 123)
One atom of each set of equivalent atoms:
Ba: 0.000 0.000 0.000 x1
Na: 0.000 0.000 0.500 x1
Ir: 0.500 0.500 0.500 x1
Cl: 0.000 0.500 0.000 x2

Computed properties:
Magnetic moment = 2.0 μB/cell
Raw formation energy = -94 meV/atom

***

(3)
Density functional theory data (PBE) for a geometry-optimized CeAl3Ga3 structure.

a b c (Å): 8.3466 8.3466 4.5210
angles (deg): 90.00 90.00 120.00
Space group P6_3/m (No. 176)
One atom of each set of equivalent atoms:
Ce: 0.3333 0.6667 0.2500 x2
Al: 0.0415 0.2242 0.2500 x6
Ga: 0.0810 0.4305 0.7500 x6

Computed properties:
Magnetic moment = 0.9 μB/cell
Distance to the lowest polymorph of the same formula = 0.0019 eV/atom
Energy of formation from the pure elements = -163 meV/atom

***

(4)
Density functional theory data (PBE) for a geometry-optimized LiMnGeOs2 structure.

a b c (Å): 4.453 4.453 4.311
angles (deg): 90.00 90.00 90.00
Space group P4/mmm (No. 123)
One atom of each set of equivalent atoms:
Li: 0.000 0.000 0.000 x1
Mn: 0.000 0.000 0.500 x1
Ge: 0.500 0.500 0.000 x1
Os: 0.000 0.500 0.500 x2

Computed properties:
Magnetic moment = 0.0 μB/cell
Energy of formation from the pure elements = 1248 meV/atom

***

| no. | density of states at the Fermi level (states/eV per cell) |
| --- | --- |
| 1 | 4.116 |
| 2 | 0.000 |
| 3 | 12.738 |
| 4 | 5.447 |